# 1
LaInP3 (PBE-GGA, optimized geometry); total DFT energy (no corrections) = -4.119 eV/atom; energy above the most stable polymorph in this dataset = 506 meV/atom; energy relative to the elements = 0.661 eV per atom
1.0
-1.444 3.876 3.614
-1.445 -3.892 3.597
5.099 -0.005 2.043
P In La
3 1 1
Cartesian
-0.722 -1.946 1.798 P
2.549 -0.002 1.021 P
-0.722 1.938 1.807 P
1.105 -0.010 4.627 In
0.000 0.000 0.000 La


# 2
LaInP3 (PBE-GGA, optimized geometry); total DFT energy (no corrections) = -4.625 eV/atom; energy above the most stable polymorph in this dataset = 0 meV/atom; energy relative to the elements = 0.154 eV per atom
1.0
-0.443 -4.974 0.099
4.974 -0.441 0.100
-0.091 0.107 4.993
P In La
3 1 1
Cartesian
2.487 -0.221 0.050 P
-0.046 0.054 2.496 P
-0.222 -2.487 0.049 P
0.000 0.000 0.000 In
2.220 -2.654 2.596 La


# 3
La3InP (PBE-GGA, optimized geometry); total DFT energy (no corrections) = -5.300 eV/atom; energy above the most stable polymorph in this dataset = 69 meV/atom; energy relative to the elements = -0.714 eV per atom
1.0
-2.249 -5.033 -0.942
1.025 0.566 -5.468
5.017 -2.371 0.694
P In La
1 1 3
Cartesian
0.000 0.000 0.000 P
1.896 -3.419 -2.858 In
0.512 0.283 -2.734 La
2.508 -1.186 0.347 La
-1.124 -2.516 -0.471 La


# 4
La2In2P (PBE-GGA, optimized geometry); total DFT energy (no corrections) = -4.656 eV/atom; energy relative to the elements = -0.508 eV per atom
1.0
7.729 0.000 0.000
0.000 7.729 0.000
0.000 0.000 5.289
P In La
2 4 4
Cartesian
0.000 0.000 0.000 P
3.865 3.865 0.000 P
1.093 4.958 2.644 In
4.958 6.636 2.644 In
6.636 2.771 2.644 In
2.771 1.093 2.644 In
2.591 6.456 0.000 La
6.456 5.138 0.000 La
5.138 1.274 0.000 La
1.274 2.591 0.000 La